(1)
DFT (GGA-PBE) results for an optimized crystal structure of CaTaRe2.

The structure in CIF format:
```
data_CaTaRe2
_cell_length_a 3.141
_cell_length_b 4.627
_cell_length_c 4.793
_cell_angle_alpha 90.00
_cell_angle_beta 90.00
_cell_angle_gamma 90.00
_symmetry_space_group_name_H-M 'P m m m'
_symmetry_Int_Tables_number 47
_symmetry_space_group_name_Hall '-P 2 2'
loop_
_atom_site_label
_atom_site_type_symbol
_atom_site_fract_x
_atom_site_fract_y
_atom_site_fract_z
_atom_site_occupancy
Ca1 Ca 0.000 0.000 0.000 1
Ta1 Ta 0.500 0.000 0.500 1
Re1 Re 0.000 0.500 0.500 1
Re2 Re 0.500 0.500 0.000 1
```

Output
**N(E_F)**: 4.2 states/eV/f.u.
**Mass density**: 14.15 g cm⁻³
**Calculated total energy**: -8.974 eV/atom
**Energy of formation**: 2.854 eV/f.u.


(2)
DFT (GGA-PBE) results for an optimized crystal structure of CaTaRe.

The structure in CIF format:
```
data_CaTaRe
_cell_length_a 2.745
_cell_length_b 5.031
_cell_length_c 8.346
_cell_angle_alpha 90.00
_cell_angle_beta 90.00
_cell_angle_gamma 90.00
_symmetry_space_group_name_H-M 'I m m 2'
_symmetry_Int_Tables_number 44
_symmetry_space_group_name_Hall 'I 2 -2'
loop_
_atom_site_label
_atom_site_type_symbol
_atom_site_fract_x
_atom_site_fract_y
_atom_site_fract_z
_atom_site_occupancy
Ca1 Ca 0.000 0.000 0.000 1
Ta1 Ta 0.000 0.000 0.342 1
Re1 Re 0.000 0.000 0.658 1
```

Output
**N(E_F)**: 1.5 states/eV/f.u.
**Mass density**: 11.73 g cm⁻³
**Calculated total energy**: -8.091 eV/atom
**Energy of formation**: 2.029 eV/f.u.